No. 1
First-principles (PBE) data for a geometry-optimized MgZnCdBi structure, as listed in Alexandria via LeMat-Bulk.

Unit cell a=5.139 b=5.139 c=5.139 alpha=60.00 beta=60.00 gamma=60.00
Sites, in units of the cell vectors:
Bi: 0.750 0.750 0.750
Cd: 0.250 0.250 0.250
Zn: 0.500 0.500 0.500
Mg: 0.000 0.000 0.000

M_tot (μB per formula unit): 0.0
Uncorrected energy (Ry/atom): -0.1343
Formation energy from the elements (kJ/mol of atoms): 9

---

No. 2
First-principles (PBE) data for a geometry-optimized SbPAu structure, as listed in Alexandria via LeMat-Bulk.

Unit cell a=5.102 b=5.102 c=5.565 alpha=90.00 beta=90.00 gamma=120.00
Sites, in units of the cell vectors:
Sb: 0.333 0.667 0.250
Sb: 0.667 0.333 0.750
Au: 0.333 0.667 0.750
P: 0.000 0.000 0.500
Au: 0.667 0.333 0.250
P: 0.000 0.000 0.000

M_tot (μB per formula unit): 0.0
Uncorrected energy (Ry/atom): -0.2749
Raw formation energy (eV/atom): 0.530

---

No. 3
First-principles (PBE) data for a geometry-optimized La2DyCuS5 structure, as listed in Alexandria via LeMat-Bulk.

Unit cell a=3.973 b=8.527 c=12.052 alpha=90.00 beta=90.00 gamma=103.47
Sites, in units of the cell vectors:
S: 0.302 0.604 0.683
S: 0.345 0.690 0.019
S: 0.655 0.310 0.519
S: 0.496 0.991 0.753
S: 0.311 0.622 0.365
Cu: 0.552 0.104 0.926
S: 0.982 0.963 0.515
Dy: 0.820 0.639 0.525
La: 0.884 0.768 0.845
La: 0.117 0.234 0.694
S: 0.504 0.009 0.253
Dy: 0.180 0.361 0.025
Cu: 0.448 0.896 0.426
S: 0.698 0.396 0.183
S: 0.018 0.037 0.015
S: 0.689 0.378 0.865
La: 0.883 0.766 0.194
La: 0.116 0.232 0.345

M_tot (μB per formula unit): 0.0
Uncorrected energy (Ry/atom): -0.4561
Raw formation energy (eV/atom): -1.851

---

No. 4
First-principles (PBE) data for a geometry-optimized Er3Co2 structure, as listed in Alexandria via LeMat-Bulk.

Unit cell a=6.562 b=6.562 c=7.124 alpha=62.58 beta=62.58 gamma=60.00
Sites, in units of the cell vectors:
Co: 0.321 0.321 0.037
Er: 0.106 0.750 0.750
Er: 0.750 0.394 0.750
Co: 0.179 0.179 0.463
Er: 0.894 0.250 0.250
Co: 0.821 0.821 0.537
Er: 0.394 0.106 0.750
Er: 0.606 0.894 0.250
Co: 0.679 0.679 0.963
Er: 0.250 0.606 0.250

M_tot (μB per formula unit): 0.0
Uncorrected energy (Ry/atom): -0.4202
Formation energy from the elements (kJ/mol of atoms): -13

---

| no. | N(E_F) (states/eV/f.u.) |
| --- | --- |
| 1 | 3.28 |
| 2 | 1.40 |
| 3 | 0.59 |
| 4 | 3.35 |